Compound: CaSiTc2
Source: Alexandria
Functional: PBE
Structure: relaxed

Cell lengths 3.939, 3.939, 4.232 Å; angles 90.00, 90.00, 90.00 degrees
Atoms (fractional coordinates):
1 Ca 0.000 0.000 0.000
2 Si 0.500 0.500 0.000
3 Tc 0.000 0.500 0.500
4 Tc 0.500 0.000 0.500


Compound: CaSi2Tc2
Source: Alexandria
Functional: PBE
Structure: relaxed

Excess energy over the best structure of this formula in the dataset in eV per atom: 0.1772

Cell lengths 4.035, 4.035, 5.342 Å; angles 90.00, 90.00, 90.00 degrees
Atoms (fractional coordinates):
1 Ca 0.000 0.000 0.000
2 Si 0.500 0.500 0.228
3 Si 0.500 0.500 0.772
4 Tc 0.000 0.500 0.500
5 Tc 0.500 0.000 0.500


Compound: Ca2SiTc
Source: Alexandria
Functional: PBE
Structure: relaxed

Cell lengths 4.805, 4.805, 6.813 Å; angles 90.00, 90.00, 90.00 degrees
Atoms (fractional coordinates):
1 Ca 0.000 0.000 0.000
2 Ca 0.000 0.500 0.250
3 Ca 0.500 0.000 0.750
4 Ca 0.500 0.500 0.500
5 Si 0.000 0.500 0.750
6 Si 0.500 0.000 0.250
7 Tc 0.000 0.000 0.500
8 Tc 0.500 0.500 0.000


Number 1: DFT total energy -26.49 eV per cell, E_form (uncorrected) 0.42 eV/atom. Number 2: DFT total energy -34.91 eV per cell, E_form (uncorrected) -0.27 eV/atom. Number 3: DFT total energy -37.51 eV per cell, E_form (uncorrected) 0.26 eV/atom.